No. 1
{"formula": "HfBe", "functional": "GGA-PBE", "state": "optimized geometry", "cell": [[-7.676, -3.947, -2.274], [2.420, -7.309, 4.515], [-1.563, 1.323, 2.979]], "species": ["Hf", "Hf", "Hf", "Be", "Be", "Be", "Be", "Hf", "Hf", "Be", "Hf", "Be", "Be", "Hf", "Hf", "Be"], "frac_coords": [[0.500, 0.802, 0.500], [0.802, 0.500, 0.500], [0.500, 0.198, 0.500], [0.208, 0.208, 0.500], [0.292, 0.708, 0.000], [0.708, 0.708, 0.000], [0.208, 0.792, 0.500], [0.698, 0.000, 0.000], [0.198, 0.500, 0.500], [0.708, 0.292, 0.000], [0.000, 0.302, 0.000], [0.292, 0.292, 0.000], [0.792, 0.208, 0.500], [0.302, 0.000, 0.000], [0.000, 0.698, 0.000], [0.792, 0.792, 0.500]], "density_g_cm3": 8.649, "energy_ev_per_fu": -13.202, "formation_enthalpy_0k_ev_per_atom": 0.239}


No. 2
{"formula": "Hf2Be17", "functional": "GGA-PBE", "state": "optimized geometry", "cell": [[5.645, -0.006, -0.005], [0.701, 5.601, -0.005], [0.701, 0.618, 5.567]], "species": ["Hf", "Hf", "Be", "Be", "Be", "Be", "Be", "Be", "Be", "Be", "Be", "Be", "Be", "Be", "Be", "Be", "Be", "Be", "Be"], "frac_coords": [[0.162, 0.162, 0.162], [0.838, 0.838, 0.838], [0.212, 0.788, 0.500], [0.500, 0.500, 0.000], [0.844, 0.340, 0.844], [0.403, 0.403, 0.403], [0.660, 0.156, 0.156], [0.844, 0.844, 0.340], [0.156, 0.156, 0.660], [0.788, 0.500, 0.212], [0.500, 0.212, 0.788], [0.156, 0.660, 0.156], [0.212, 0.500, 0.788], [0.500, 0.788, 0.212], [0.597, 0.597, 0.597], [0.340, 0.844, 0.844], [0.788, 0.212, 0.500], [0.000, 0.500, 0.500], [0.500, 0.000, 0.500]], "density_g_cm3": 4.812, "energy_ev_per_fu": -87.719, "formation_enthalpy_0k_ev_per_atom": -0.235}


No. 3
{"formula": "Hf4Be", "functional": "GGA-PBE", "state": "optimized geometry", "cell": [[-1.672, 3.200, -3.058], [0.876, -2.965, -3.582], [-4.339, -1.832, 0.456]], "species": ["Hf", "Be", "Hf", "Hf", "Hf"], "frac_coords": [[0.000, 0.500, 0.500], [0.500, 0.500, 0.500], [0.500, 0.000, 0.500], [0.000, 0.000, 0.000], [0.500, 0.500, 0.000]], "density_g_cm3": 11.333, "energy_ev_per_fu": -41.443, "formation_enthalpy_0k_ev_per_atom": 0.419}


No. 4
{"formula": "HfBe", "functional": "GGA-PBE", "state": "optimized geometry", "cell": [[7.350, 0.000, 0.000], [-3.675, 6.366, 0.000], [0.000, 0.000, 4.035]], "species": ["Be", "Be", "Be", "Be", "Be", "Hf", "Hf", "Hf", "Hf", "Hf", "Be", "Hf"], "frac_coords": [[0.568, 0.137, 0.750], [0.432, 0.863, 0.250], [0.137, 0.568, 0.250], [0.568, 0.432, 0.750], [0.432, 0.568, 0.250], [0.174, 0.349, 0.750], [0.651, 0.826, 0.750], [0.826, 0.651, 0.250], [0.349, 0.174, 0.250], [0.174, 0.826, 0.750], [0.863, 0.432, 0.750], [0.826, 0.174, 0.250]], "density_g_cm3": 9.895, "energy_ev_per_fu": -13.484, "formation_enthalpy_0k_ev_per_atom": 0.098}


No. 5
{"formula": "HfBeHg3", "functional": "GGA-PBE", "state": "optimized geometry", "cell": [[-5.139, 1.558, -1.619], [0.035, -3.985, -3.946], [-2.247, -3.626, 3.642]], "species": ["Hg", "Hf", "Be", "Hg", "Hg"], "frac_coords": [[0.000, 0.500, 0.000], [0.000, 0.000, 0.000], [0.500, 0.500, 0.500], [0.500, 0.000, 0.000], [0.000, 0.000, 0.500]], "density_g_cm3": 7.429, "relative_energy_mev_per_atom": 703, "energy_ev_per_fu": -8.710, "formation_enthalpy_0k_ev_per_atom": 1.175}


No. 6
{"formula": "HfBeHg", "functional": "GGA-PBE", "state": "optimized geometry", "cell": [[-0.450, -0.463, 3.517], [0.242, -3.691, -0.455], [7.759, -1.471, 0.799]], "species": ["Hf", "Be", "Hf", "Hg", "Hg", "Be"], "frac_coords": [[0.250, 0.917, 0.166], [0.750, 0.464, 0.071], [0.750, 0.083, 0.834], [0.750, 0.302, 0.395], [0.250, 0.698, 0.605], [0.250, 0.536, 0.929]], "density_g_cm3": 12.535, "energy_ev_per_fu": -14.438, "formation_enthalpy_0k_ev_per_atom": -0.152}


No. 7
{"formula": "HfBe3Hg", "functional": "GGA-PBE", "state": "optimized geometry", "cell": [[-2.595, 1.081, -3.292], [-3.455, -0.499, 2.559], [0.259, 4.161, 1.162]], "species": ["Be", "Hg", "Be", "Hf", "Be"], "frac_coords": [[0.000, 0.500, 0.000], [0.000, 0.000, 0.000], [0.500, 0.000, 0.000], [0.500, 0.500, 0.500], [0.000, 0.000, 0.500]], "density_g_cm3": 8.317, "relative_energy_mev_per_atom": 0, "energy_ev_per_fu": -17.174, "formation_enthalpy_0k_ev_per_atom": 0.852}


No. 8
{"formula": "Hf2BeHg", "functional": "GGA-PBE", "state": "optimized geometry", "cell": [[-2.005, 2.597, 3.415], [-0.290, 4.704, -0.464], [-4.203, 2.051, -0.744]], "species": ["Hg", "Be", "Hf", "Hf"], "frac_coords": [[0.500, 0.500, 0.500], [0.000, 0.000, 0.000], [0.250, 0.250, 0.250], [0.750, 0.750, 0.750]], "density_g_cm3": 12.525, "relative_energy_mev_per_atom": 136, "energy_ev_per_fu": -23.457, "formation_enthalpy_0k_ev_per_atom": 0.119}


No. 9
{"formula": "Hf2Be2Hg", "functional": "GGA-PBE", "state": "optimized geometry", "cell": [[6.327, 0.000, 0.000], [0.000, 6.327, 0.000], [0.000, 0.000, 3.975]], "species": ["Hf", "Be", "Be", "Be", "Hg", "Hf", "Hf", "Be", "Hf", "Hg"], "frac_coords": [[0.669, 0.831, 0.500], [0.878, 0.622, 0.000], [0.122, 0.378, 0.000], [0.378, 0.878, 0.000], [0.500, 0.500, 0.000], [0.169, 0.669, 0.500], [0.331, 0.169, 0.500], [0.622, 0.122, 0.000], [0.831, 0.331, 0.500], [0.000, 0.000, 0.000]], "density_g_cm3": 12.013, "relative_energy_mev_per_atom": 0, "energy_ev_per_fu": -28.710, "formation_enthalpy_0k_ev_per_atom": -0.210}


No. 10
{"formula": "HfBe3Hg", "functional": "GGA-PBE", "state": "optimized geometry", "cell": [[-0.469, 3.384, -3.375], [-2.478, -3.072, -2.736], [-4.087, 1.474, 2.046]], "species": ["Hg", "Be", "Hf", "Be", "Be"], "frac_coords": [[0.500, 0.500, 0.500], [0.000, 0.500, 0.000], [0.000, 0.000, 0.000], [0.500, 0.000, 0.000], [0.000, 0.000, 0.500]], "density_g_cm3": 6.087, "relative_energy_mev_per_atom": 862, "energy_ev_per_fu": -12.866, "formation_enthalpy_0k_ev_per_atom": 1.713}


No. 11
{"formula": "HfBeHg3", "functional": "GGA-PBE", "state": "optimized geometry", "cell": [[4.666, 0.000, 0.000], [0.000, 4.666, 0.000], [0.000, 0.000, 4.666]], "species": ["Hg", "Hf", "Hg", "Hg", "Be"], "frac_coords": [[0.000, 0.000, 0.500], [0.500, 0.500, 0.500], [0.500, 0.000, 0.000], [0.000, 0.500, 0.000], [0.000, 0.000, 0.000]], "density_g_cm3": 12.904, "relative_energy_mev_per_atom": 0, "energy_ev_per_fu": -12.225, "formation_enthalpy_0k_ev_per_atom": 0.472}


No. 12
{"formula": "Hf2BeHg", "functional": "GGA-PBE", "state": "optimized geometry", "cell": [[-6.827, -2.372, 1.652], [0.339, -4.866, -5.583], [-2.136, -5.574, -0.194]], "species": ["Hg", "Be", "Hf", "Hf", "Hf", "Hf", "Be", "Hg"], "frac_coords": [[0.750, 0.250, 0.500], [0.500, 0.500, 0.000], [0.375, 0.416, 0.750], [0.584, 0.125, 0.250], [0.166, 0.625, 0.250], [0.875, 0.834, 0.750], [0.250, 0.750, 0.500], [0.000, 0.000, 0.000]], "density_g_cm3": 11.961, "relative_energy_mev_per_atom": 442, "energy_ev_per_fu": -22.233, "formation_enthalpy_0k_ev_per_atom": 0.425}